No. 1
{"formula": "NbNiRh", "functional": "PBE", "state": "relaxed", "formation_energy_ev_per_atom": -0.22, "crystal_system": "tetragonal", "total_energy_ev_per_atom": -7.950, "lattice": [[3.7403, 0.0000, 0.0000], [0.0000, 3.7403, 0.0000], [0.0000, 0.0000, 6.4356]], "species": ["Nb", "Nb", "Ni", "Ni", "Rh", "Rh"], "frac_coords": [[0.2500, 0.2500, 0.1711], [0.7500, 0.7500, 0.8289], [0.2500, 0.7500, 0.5000], [0.7500, 0.2500, 0.5000], [0.2500, 0.2500, 0.7743], [0.7500, 0.7500, 0.2257]]}

=====

No. 2
{"formula": "NbNi2Rh", "functional": "PBE", "state": "relaxed", "formation_energy_ev_per_atom": -0.37, "crystal_system": "orthorhombic", "total_energy_ev_per_atom": -7.618, "lattice": [[4.2924, 0.0000, 0.0000], [0.0000, 5.3320, 0.0000], [0.0000, 0.0000, 4.6657]], "species": ["Nb", "Nb", "Ni", "Ni", "Ni", "Ni", "Rh", "Rh"], "frac_coords": [[0.2500, 0.2500, 0.1638], [0.7500, 0.7500, 0.8362], [0.2500, 0.0011, 0.6588], [0.2500, 0.4989, 0.6588], [0.7500, 0.5011, 0.3412], [0.7500, 0.9989, 0.3412], [0.2500, 0.7500, 0.1812], [0.7500, 0.2500, 0.8188]]}

=====

No. 3
{"formula": "Nb2NiRh7", "functional": "PBE", "state": "relaxed", "formation_energy_ev_per_atom": 0.27, "crystal_system": "orthorhombic", "total_energy_ev_per_atom": -7.468, "lattice": [[4.0143, -7.6034, 0.0000], [4.0143, 7.6034, 0.0000], [0.0000, 0.0000, 2.7368]], "species": ["Nb", "Nb", "Ni", "Rh", "Rh", "Rh", "Rh", "Rh", "Rh", "Rh"], "frac_coords": [[0.1742, 0.8258, 0.0000], [0.8258, 0.1742, 0.0000], [0.5000, 0.5000, 0.5000], [0.0000, 0.0000, 0.0000], [0.1865, 0.3666, 0.0000], [0.3217, 0.6783, 0.5000], [0.3666, 0.1865, 0.0000], [0.6334, 0.8135, 0.0000], [0.6783, 0.3217, 0.5000], [0.8135, 0.6334, 0.0000]]}

=====

No. 4
{"formula": "Nb2Ni2Rh", "functional": "PBE", "state": "relaxed", "formation_energy_ev_per_atom": 0.06, "crystal_system": "orthorhombic", "total_energy_ev_per_atom": -7.753, "lattice": [[2.2178, -3.0438, 0.0000], [2.2178, 3.0438, 0.0000], [0.0000, 0.0000, 5.7810]], "species": ["Nb", "Nb", "Ni", "Ni", "Rh"], "frac_coords": [[0.0000, 0.0000, 0.2442], [0.0000, 0.0000, 0.7558], [0.3169, 0.6831, 0.5000], [0.6831, 0.3169, 0.5000], [0.5000, 0.5000, 0.0000]]}

=====

No. 5
{"formula": "NbNi2Rh2", "functional": "PBE", "state": "relaxed", "formation_energy_ev_per_atom": -0.25, "crystal_system": "monoclinic", "total_energy_ev_per_atom": -7.517, "lattice": [[4.2383, -1.9025, 0.0000], [4.2383, 1.9025, 0.0000], [-4.2304, 0.0000, 4.2387]], "species": ["Nb", "Ni", "Ni", "Rh", "Rh"], "frac_coords": [[0.0000, 0.0000, 0.0000], [0.1936, 0.1936, 0.7931], [0.8064, 0.8064, 0.2069], [0.4104, 0.4104, 0.6092], [0.5896, 0.5896, 0.3908]]}

=====

No. 6
{"formula": "Nb3Ni3Rh", "functional": "PBE", "state": "relaxed", "formation_energy_ev_per_atom": -0.17, "crystal_system": "hexagonal", "total_energy_ev_per_atom": -8.014, "lattice": [[7.2959, 0.0000, 0.0000], [-3.6480, 6.3185, 0.0000], [0.0000, 0.0000, 4.4178]], "species": ["Nb", "Nb", "Nb", "Nb", "Nb", "Nb", "Ni", "Ni", "Ni", "Ni", "Ni", "Ni", "Rh", "Rh"], "frac_coords": [[0.0829, 0.6440, 0.2500], [0.3560, 0.4389, 0.2500], [0.4389, 0.0829, 0.7500], [0.5611, 0.9171, 0.2500], [0.6440, 0.5611, 0.7500], [0.9171, 0.3560, 0.7500], [0.0406, 0.8224, 0.7500], [0.1776, 0.2182, 0.7500], [0.2182, 0.0406, 0.2500], [0.7818, 0.9594, 0.7500], [0.8224, 0.7818, 0.2500], [0.9594, 0.1776, 0.2500], [0.3333, 0.6667, 0.7500], [0.6667, 0.3333, 0.2500]]}

=====

No. 7
{"formula": "NbNi2Rh6", "functional": "PBE", "state": "relaxed", "formation_energy_ev_per_atom": -0.17, "crystal_system": "monoclinic", "total_energy_ev_per_atom": -7.477, "lattice": [[4.2529, -1.9113, 0.0000], [4.2529, 1.9113, 0.0000], [-2.4231, 0.0000, 7.7179]], "species": ["Nb", "Ni", "Ni", "Rh", "Rh", "Rh", "Rh", "Rh", "Rh"], "frac_coords": [[0.0000, 0.0000, 0.0000], [0.3287, 0.3287, 0.7751], [0.6713, 0.6713, 0.2249], [0.0053, 0.0053, 0.3303], [0.3353, 0.3353, 0.1158], [0.3346, 0.3346, 0.4470], [0.6654, 0.6654, 0.5530], [0.6647, 0.6647, 0.8842], [0.9947, 0.9947, 0.6697]]}

=====

No. 8
{"formula": "NbNiRh", "functional": "PBE", "state": "relaxed", "formation_energy_ev_per_atom": -0.23, "crystal_system": "monoclinic", "total_energy_ev_per_atom": -7.969, "lattice": [[5.0030, -1.4001, 0.0000], [5.0030, 1.4001, 0.0000], [-3.5533, 0.0000, 6.2297]], "species": ["Nb", "Nb", "Ni", "Ni", "Rh", "Rh"], "frac_coords": [[0.0000, 0.0000, 0.0000], [0.1674, 0.1674, 0.6123], [0.7164, 0.7164, 0.9595], [0.7213, 0.7213, 0.3214], [0.4295, 0.4295, 0.2630], [0.4338, 0.4338, 0.6406]]}

=====

No. 9
{"formula": "NbNi2Rh2", "functional": "PBE", "state": "relaxed", "formation_energy_ev_per_atom": -0.25, "crystal_system": "monoclinic", "total_energy_ev_per_atom": -7.522, "lattice": [[4.2587, -1.8719, 0.0000], [4.2587, 1.8719, 0.0000], [-0.1310, 0.0000, 8.5730]], "species": ["Nb", "Nb", "Ni", "Ni", "Ni", "Ni", "Rh", "Rh", "Rh", "Rh"], "frac_coords": [[0.2477, 0.2477, 0.2526], [0.7523, 0.7523, 0.7474], [0.0502, 0.0502, 0.8492], [0.1479, 0.1479, 0.5466], [0.8521, 0.8521, 0.4534], [0.9498, 0.9498, 0.1508], [0.3547, 0.3547, 0.9501], [0.4514, 0.4514, 0.6439], [0.5486, 0.5486, 0.3561], [0.6453, 0.6453, 0.0499]]}

=====

No. 10
{"formula": "Nb2Ni3Rh", "functional": "PBE", "state": "relaxed", "formation_energy_ev_per_atom": -0.17, "crystal_system": "monoclinic", "total_energy_ev_per_atom": -7.646, "lattice": [[5.8935, -1.9216, 0.0000], [5.8935, 1.9216, 0.0000], [-4.0255, 0.0000, 7.3820]], "species": ["Nb", "Nb", "Nb", "Nb", "Ni", "Ni", "Ni", "Ni", "Ni", "Ni", "Rh", "Rh"], "frac_coords": [[0.0209, 0.0209, 0.3387], [0.2907, 0.2907, 0.6518], [0.7093, 0.7093, 0.3482], [0.9791, 0.9791, 0.6613], [0.1209, 0.1209, 0.1124], [0.2169, 0.2169, 0.8986], [0.4587, 0.4587, 0.1137], [0.5413, 0.5413, 0.8863], [0.7831, 0.7831, 0.1014], [0.8791, 0.8791, 0.8876], [0.3705, 0.3705, 0.3553], [0.6295, 0.6295, 0.6447]]}

=====

No. 11
{"formula": "NbNiRuRh", "functional": "PBE", "state": "relaxed", "formation_energy_ev_per_atom": -0.31, "crystal_system": "orthorhombic", "total_energy_ev_per_atom": -8.430, "lattice": [[3.7351, 0.0000, 0.0000], [0.0000, 3.8505, 0.0000], [0.0000, 0.0000, 3.9409]], "species": ["Nb", "Ni", "Ru", "Rh"], "frac_coords": [[0.0000, 0.0000, 0.0000], [0.0000, 0.5000, 0.5000], [0.5000, 0.5000, 0.0000], [0.5000, 0.0000, 0.5000]]}

=====

No. 12
{"formula": "NbNiSbRh", "functional": "PBE", "state": "relaxed", "crystal_system": "cubic", "total_energy_ev_per_atom": -6.986, "formation_energy_uncorrected_ev_per_atom": -0.155, "lattice": [[0.0000, 3.1782, 3.1782], [3.1782, 0.0000, 3.1782], [3.1782, 3.1782, 0.0000]], "species": ["Nb", "Ni", "Sb", "Rh"], "frac_coords": [[0.0000, 0.0000, 0.0000], [0.2500, 0.2500, 0.2500], [0.5000, 0.5000, 0.5000], [0.7500, 0.7500, 0.7500]]}

=====

No. 13
{"formula": "ScNbNiRh", "functional": "PBE", "state": "relaxed", "formation_energy_ev_per_atom": -0.41, "crystal_system": "cubic", "total_energy_ev_per_atom": -7.792, "lattice": [[0.0000, 3.1782, 3.1782], [3.1782, 0.0000, 3.1782], [3.1782, 3.1782, 0.0000]], "species": ["Sc", "Nb", "Ni", "Rh"], "frac_coords": [[0.0000, 0.0000, 0.0000], [0.5000, 0.5000, 0.5000], [0.7500, 0.7500, 0.7500], [0.2500, 0.2500, 0.2500]]}

=====

No. 14
{"formula": "ScNbNi2Rh", "functional": "PBE", "state": "relaxed", "formation_energy_ev_per_atom": 0.72, "crystal_system": "tetragonal", "total_energy_ev_per_atom": -6.346, "lattice": [[4.6044, 0.0000, 0.0000], [0.0000, 4.6044, 0.0000], [0.0000, 0.0000, 4.6448]], "species": ["Sc", "Nb", "Ni", "Ni", "Rh"], "frac_coords": [[0.0000, 0.0000, 0.0000], [0.5000, 0.5000, 0.0000], [0.0000, 0.5000, 0.5000], [0.5000, 0.0000, 0.5000], [0.5000, 0.5000, 0.5000]]}

=====

No. 15
{"formula": "SrNbNi2Rh", "functional": "PBE", "state": "relaxed", "formation_energy_ev_per_atom": 2.18, "crystal_system": "tetragonal", "total_energy_ev_per_atom": -3.953, "lattice": [[4.4582, 0.0000, 0.0000], [0.0000, 4.4582, 0.0000], [0.0000, 0.0000, 5.0844]], "species": ["Sr", "Nb", "Ni", "Ni", "Rh"], "frac_coords": [[0.0000, 0.0000, 0.0000], [0.0000, 0.0000, 0.5000], [0.0000, 0.5000, 0.0000], [0.5000, 0.0000, 0.0000], [0.5000, 0.5000, 0.5000]]}

=====

No. 16
{"formula": "TaNb2NiRh", "functional": "PBE", "state": "relaxed", "formation_energy_ev_per_atom": 1.16, "crystal_system": "tetragonal", "total_energy_ev_per_atom": -7.869, "lattice": [[4.7349, 0.0000, 0.0000], [0.0000, 4.7349, 0.0000], [0.0000, 0.0000, 4.4777]], "species": ["Ta", "Nb", "Nb", "Ni", "Rh"], "frac_coords": [[0.0000, 0.0000, 0.0000], [0.0000, 0.5000, 0.5000], [0.5000, 0.0000, 0.5000], [0.5000, 0.5000, 0.0000], [0.5000, 0.5000, 0.5000]]}

=====

No. 17
{"formula": "TaNbNiRh2", "functional": "PBE", "state": "relaxed", "formation_energy_ev_per_atom": 1.53, "crystal_system": "tetragonal", "total_energy_ev_per_atom": -6.951, "lattice": [[4.6527, 0.0000, 0.0000], [0.0000, 4.6527, 0.0000], [0.0000, 0.0000, 4.8887]], "species": ["Ta", "Nb", "Ni", "Rh", "Rh"], "frac_coords": [[0.0000, 0.0000, 0.0000], [0.0000, 0.0000, 0.5000], [0.5000, 0.5000, 0.0000], [0.0000, 0.5000, 0.5000], [0.5000, 0.0000, 0.5000]]}

=====

No. 18
{"formula": "TiNbNiRh", "functional": "PBE", "state": "relaxed", "formation_energy_ev_per_atom": -0.31, "crystal_system": "cubic", "total_energy_ev_per_atom": -8.083, "lattice": [[0.0000, 3.1154, 3.1154], [3.1154, 0.0000, 3.1154], [3.1154, 3.1154, 0.0000]], "species": ["Ti", "Nb", "Ni", "Rh"], "frac_coords": [[0.0000, 0.0000, 0.0000], [0.5000, 0.5000, 0.5000], [0.7500, 0.7500, 0.7500], [0.2500, 0.2500, 0.2500]]}

=====

No. 19
{"formula": "Ti2NbNiRh", "functional": "PBE", "state": "relaxed", "formation_energy_ev_per_atom": 0.70, "crystal_system": "tetragonal", "total_energy_ev_per_atom": -7.095, "lattice": [[4.5497, 0.0000, 0.0000], [0.0000, 4.5497, 0.0000], [0.0000, 0.0000, 4.5807]], "species": ["Ti", "Ti", "Nb", "Ni", "Rh"], "frac_coords": [[0.0000, 0.5000, 0.0000], [0.5000, 0.0000, 0.0000], [0.0000, 0.0000, 0.5000], [0.5000, 0.5000, 0.5000], [0.5000, 0.5000, 0.0000]]}

=====

No. 20
{"formula": "TiNbNiRh2", "functional": "PBE", "state": "relaxed", "formation_energy_ev_per_atom": 0.72, "crystal_system": "tetragonal", "total_energy_ev_per_atom": -6.973, "lattice": [[4.5190, 0.0000, 0.0000], [0.0000, 4.5190, 0.0000], [0.0000, 0.0000, 4.3762]], "species": ["Ti", "Nb", "Ni", "Rh", "Rh"], "frac_coords": [[0.0000, 0.0000, 0.0000], [0.5000, 0.5000, 0.0000], [0.5000, 0.5000, 0.5000], [0.0000, 0.5000, 0.5000], [0.5000, 0.0000, 0.5000]]}

=====

No. 21
{"formula": "TmNbNiRh", "functional": "PBE", "state": "relaxed", "formation_energy_ev_per_atom": -0.33, "crystal_system": "cubic", "total_energy_ev_per_atom": -7.244, "lattice": [[0.0000, 3.2503, 3.2503], [3.2503, 0.0000, 3.2503], [3.2503, 3.2503, 0.0000]], "species": ["Tm", "Nb", "Ni", "Rh"], "frac_coords": [[0.0000, 0.0000, 0.0000], [0.5000, 0.5000, 0.5000], [0.7500, 0.7500, 0.7500], [0.2500, 0.2500, 0.2500]]}

=====

No. 22
{"formula": "NbVNiRh", "functional": "PBE", "state": "relaxed", "formation_energy_ev_per_atom": -0.16, "crystal_system": "cubic", "total_energy_ev_per_atom": -8.239, "lattice": [[0.0000, 3.0414, 3.0414], [3.0414, 0.0000, 3.0414], [3.0414, 3.0414, 0.0000]], "species": ["Nb", "V", "Ni", "Rh"], "frac_coords": [[0.0000, 0.0000, 0.0000], [0.2500, 0.2500, 0.2500], [0.7500, 0.7500, 0.7500], [0.5000, 0.5000, 0.5000]]}

=====

No. 23
{"formula": "NbVNiRh", "functional": "PBE", "state": "relaxed", "formation_energy_ev_per_atom": -0.28, "crystal_system": "orthorhombic", "total_energy_ev_per_atom": -8.362, "lattice": [[3.7775, 0.0000, 0.0000], [0.0000, 3.8580, 0.0000], [0.0000, 0.0000, 3.8652]], "species": ["Nb", "V", "Ni", "Rh"], "frac_coords": [[0.0000, 0.0000, 0.0000], [0.5000, 0.0000, 0.5000], [0.5000, 0.5000, 0.0000], [0.0000, 0.5000, 0.5000]]}

=====

No. 24
{"formula": "NbNiRu", "functional": "PBE", "state": "relaxed", "formation_energy_ev_per_atom": 0.36, "crystal_system": "orthorhombic", "total_energy_ev_per_atom": -8.018, "lattice": [[3.5099, 0.0000, 0.0000], [0.0000, 3.7122, 0.0000], [0.0000, 0.0000, 3.7542]], "species": ["Nb", "Ni", "Ru"], "frac_coords": [[0.0000, 0.0000, 0.0000], [0.5000, 0.0000, 0.5000], [0.0000, 0.5000, 0.5000]]}

=====

No. 25
{"formula": "NbNi2Ru", "functional": "PBE", "state": "relaxed", "formation_energy_ev_per_atom": 0.27, "crystal_system": "tetragonal", "total_energy_ev_per_atom": -7.460, "lattice": [[-1.8116, 1.8116, 8.9014], [1.8116, -1.8116, 8.9014], [1.8116, 1.8116, -8.9014]], "species": ["Nb", "Nb", "Ni", "Ni", "Ni", "Ni", "Ru", "Ru"], "frac_coords": [[0.0000, 0.0000, 0.0000], [0.7500, 0.2500, 0.5000], [0.1398, 0.6250, 0.0148], [0.3750, 0.3898, 0.5148], [0.6102, 0.1250, 0.9852], [0.8750, 0.8602, 0.4852], [0.2500, 0.7500, 0.5000], [0.5000, 0.5000, 0.0000]]}

=====

No. 26
{"formula": "Nb2NiRu", "functional": "PBE", "state": "relaxed", "formation_energy_ev_per_atom": 0.10, "crystal_system": "trigonal", "total_energy_ev_per_atom": -8.697, "lattice": [[1.4229, 0.8215, 8.8886], [-1.4229, 0.8215, 8.8886], [0.0000, -1.6430, 8.8886]], "species": ["Nb", "Nb", "Ni", "Ru"], "frac_coords": [[0.2483, 0.2483, 0.2483], [0.7517, 0.7517, 0.7517], [0.5000, 0.5000, 0.5000], [0.0000, 0.0000, 0.0000]]}

=====

No. 27
{"formula": "NbNiRu", "functional": "PBE", "state": "relaxed", "formation_energy_ev_per_atom": -0.11, "crystal_system": "tetragonal", "total_energy_ev_per_atom": -8.487, "lattice": [[-1.6113, 1.6113, 4.2090], [1.6113, -1.6113, 4.2090], [1.6113, 1.6113, -4.2090]], "species": ["Nb", "Ni", "Ru"], "frac_coords": [[0.0000, 0.0000, 0.0000], [0.3397, 0.3397, 0.0000], [0.6651, 0.6651, 0.0000]]}